# 1
A plane-wave DFT calculation with PBE was carried out for PaTl5 after structural relaxation.

The structure in extended XYZ format:
```
6
Lattice="-4.439 -1.370 -1.262 0.172 -3.486 3.180 -2.926 6.251 3.505" Properties=species:S:1:pos:R:3 pbc="T T T"
Tl -1.890 3.001 3.392
Tl -0.863 -0.236 3.294
Tl -3.145 0.784 1.030
Tl -4.048 0.611 4.394
Tl -2.133 -2.428 0.959
Pa 0.000 0.000 0.000
```

final energy: -3.364 eV per atom

***

# 2
A plane-wave DFT calculation with PBE was carried out for PaTl after structural relaxation.

The structure in extended XYZ format:
```
4
Lattice="3.183 0.364 0.000 -0.675 5.903 0.000 0.000 0.000 5.353" Properties=species:S:1:pos:R:3 pbc="T T T"
Tl -0.246 2.182 4.015
Tl 2.754 4.084 1.338
Pa 1.516 0.835 1.338
Pa 0.992 5.432 4.015
```

final energy: -5.678 eV per atom

***

# 3
A plane-wave DFT calculation with PBE was carried out for PaTl3 after structural relaxation.

The structure in extended XYZ format:
```
4
Lattice="4.661 0.000 0.000 0.000 4.661 0.000 -2.331 -2.331 5.027" Properties=species:S:1:pos:R:3 pbc="T T T"
Tl 2.331 2.331 0.000
Tl 0.000 2.331 2.514
Tl 2.331 0.000 2.514
Pa 0.000 0.000 0.000
```

final energy: -3.919 eV per atom

***

# 4
A plane-wave DFT calculation with PBE was carried out for Tm2PaTl after structural relaxation.

The structure in extended XYZ format:
```
4
Lattice="-0.982 0.942 -2.989 1.227 -1.468 -2.669 -8.648 -8.129 -1.524" Properties=species:S:1:pos:R:3 pbc="T T T"
Pa 0.000 0.000 0.000
Tm -2.133 -2.692 -5.559
Tm -6.271 -5.963 -1.623
Tl -4.202 -4.328 -3.591
```

excess energy over the best structure of this formula in the dataset: 282.5 meV/atom

***

# 5
A plane-wave DFT calculation with PBE was carried out for Tm2PaTl after structural relaxation.

The structure in extended XYZ format:
```
4
Lattice="3.438 0.000 0.000 0.000 3.438 0.000 0.000 0.000 9.145" Properties=species:S:1:pos:R:3 pbc="T T T"
Tm 0.000 0.000 2.228
Tm 0.000 0.000 6.917
Tl 1.719 1.719 0.000
Pa 1.719 1.719 4.573
```

excess energy over the best structure of this formula in the dataset: 0.0 meV/atom

***

# 6
A plane-wave DFT calculation with PBE was carried out for Pa2TlV after structural relaxation.

The structure in extended XYZ format:
```
4
Lattice="3.144 0.000 0.000 1.572 2.723 0.000 1.572 0.908 10.705" Properties=species:S:1:pos:R:3 pbc="T T T"
Pa 4.717 2.723 8.326
Pa 1.572 0.908 2.379
Tl 3.144 1.815 5.352
V 0.000 0.000 0.000
```

excess energy over the best structure of this formula in the dataset: 114.0 meV/atom

***

# 7
A plane-wave DFT calculation with PBE was carried out for PaTlV after structural relaxation.

The structure in extended XYZ format:
```
6
Lattice="4.392 -2.064 0.326 -0.276 4.845 0.326 1.257 0.849 7.656" Properties=species:S:1:pos:R:3 pbc="T T T"
V 1.932 1.306 1.478
V 3.441 2.325 6.831
Tl 1.575 1.064 4.750
Tl 3.799 2.566 3.559
Pa 0.531 3.652 0.326
Pa 3.586 -0.871 0.326
```

excess energy over the best structure of this formula in the dataset: 195.7 meV/atom

***

# 8
A plane-wave DFT calculation with PBE was carried out for PaTlV after structural relaxation.

The structure in extended XYZ format:
```
3
Lattice="-0.070 3.168 -0.316 -0.471 -0.323 -3.132 -6.078 -1.467 2.684" Properties=species:S:1:pos:R:3 pbc="T T T"
Pa -3.353 -0.024 0.507
Tl -6.224 1.380 -0.824
V -1.758 1.411 -1.499
```

excess energy over the best structure of this formula in the dataset: 0.0 meV/atom

***

# 9
A plane-wave DFT calculation with PBE was carried out for Pa2TlV after structural relaxation.

The structure in extended XYZ format:
```
4
Lattice="3.130 0.000 0.000 0.000 3.130 0.000 0.000 0.000 9.343" Properties=species:S:1:pos:R:3 pbc="T T T"
V 1.565 1.565 0.000
Pa 0.000 0.000 1.978
Pa 0.000 0.000 7.365
Tl 1.565 1.565 4.671
```

excess energy over the best structure of this formula in the dataset: 0.0 meV/atom

***

# 10
A plane-wave DFT calculation with PBE was carried out for Y2PaTl after structural relaxation.

The structure in extended XYZ format:
```
4
Lattice="-2.176 -2.704 0.287 1.724 -1.655 -2.532 5.577 -3.821 6.294" Properties=species:S:1:pos:R:3 pbc="T T T"
Y 1.351 -0.925 1.524
Y 4.227 -2.896 4.770
Tl -0.226 -2.180 -1.123
Pa 2.563 -4.090 2.024
```

excess energy over the best structure of this formula in the dataset: 0.0 meV/atom

***

# 11
A plane-wave DFT calculation with PBE was carried out for Y2PaTl after structural relaxation.

The structure in extended XYZ format:
```
4
Lattice="3.323 0.000 0.000 1.661 2.878 0.000 1.661 0.959 11.911" Properties=species:S:1:pos:R:3 pbc="T T T"
Tl 3.323 1.918 5.956
Y 4.984 2.878 3.251
Y 1.661 0.959 8.660
Pa 0.000 0.000 0.000
```

excess energy over the best structure of this formula in the dataset: 278.7 meV/atom

***

# 12
A plane-wave DFT calculation with PBE was carried out for PaTlZn after structural relaxation.

The structure in extended XYZ format:
```
6
Lattice="-3.103 0.507 -4.511 -4.914 -4.715 -0.500 -2.624 6.248 -0.845" Properties=species:S:1:pos:R:3 pbc="T T T"
Zn -4.522 1.001 -1.803
Zn -4.973 6.519 -4.224
Pa -4.937 0.882 -4.774
Pa -7.255 1.411 -3.337
Tl -6.757 -1.521 -2.225
Tl -3.478 -2.174 -1.203
```

excess energy over the best structure of this formula in the dataset: 326.9 meV/atom

***

Total magnetic moment across the listed records, respectively: 1.15, 0.13, 1.40, 0.00, 0.35, 1.70, 0.95, 1.50, 0.98, 0.47, 0.00, 3.21 μB/cell.